1.
Entry from the Alexandria database: Nd2Te3 after structural relaxation (GGA-PBE).

Lattice parameters (Å, degrees): 12.370 4.438 12.013 90.00 90.00 90.00
Fractional coordinates of all 20 atoms:
Nd1 0.017 0.250 0.188
Nd2 0.197 0.250 0.497
Nd3 0.303 0.750 0.997
Nd4 0.483 0.750 0.688
Nd5 0.517 0.250 0.312
Nd6 0.697 0.250 0.003
Nd7 0.803 0.750 0.503
Nd8 0.983 0.750 0.812
Te1 0.042 0.750 0.377
Te2 0.119 0.250 0.943
Te3 0.225 0.750 0.698
Te4 0.275 0.250 0.198
Te5 0.381 0.750 0.443
Te6 0.458 0.250 0.877
Te7 0.542 0.750 0.123
Te8 0.619 0.250 0.557
Te9 0.725 0.750 0.802
Te10 0.775 0.250 0.302
Te11 0.881 0.750 0.057
Te12 0.958 0.250 0.623

Computed properties:
SG: No. 62
calculated volume: 659.47 Å³/cell
magnetization: 0.000 Bohr magnetons per cell
Fermi-level density of states: 0.04 states/eV/atom
formation energy without anion corrections: -1.465 eV per atom
final energy: -5.26 eV/atom

---

2.
Entry from the Alexandria database: Nd4Te after structural relaxation (GGA-PBE).

Lattice parameters (Å, degrees): 5.910 5.910 5.910 90.00 90.00 90.00
Fractional coordinates of all 5 atoms:
Nd1 0.000 0.000 0.000
Nd2 0.000 0.500 0.500
Nd3 0.500 0.000 0.500
Nd4 0.500 0.500 0.000
Te1 0.500 0.500 0.500

Computed properties:
SG: No. 221
calculated volume: 206.41 Å³/cell
magnetization: 0.000 Bohr magnetons per cell
Fermi-level density of states: 1.83 states/eV/atom
formation energy without anion corrections: -0.140 eV per atom
final energy: -4.58 eV/atom

---

3.
Entry from the Alexandria database: Nd3Te after structural relaxation (GGA-PBE).

Lattice parameters (Å, degrees): 12.840 12.840 6.256 90.00 90.00 90.00
Fractional coordinates of all 32 atoms:
Nd1 0.034 0.573 0.243
Nd2 0.073 0.966 0.743
Nd3 0.110 0.223 0.034
Nd4 0.141 0.667 0.715
Nd5 0.167 0.859 0.215
Nd6 0.223 0.390 0.466
Nd7 0.277 0.110 0.466
Nd8 0.333 0.641 0.215
Nd9 0.359 0.833 0.715
Nd10 0.390 0.277 0.034
Nd11 0.427 0.534 0.743
Nd12 0.466 0.927 0.243
Nd13 0.534 0.073 0.757
Nd14 0.573 0.466 0.257
Nd15 0.610 0.723 0.966
Nd16 0.641 0.167 0.285
Nd17 0.667 0.359 0.785
Nd18 0.723 0.890 0.534
Nd19 0.777 0.610 0.534
Nd20 0.833 0.141 0.785
Nd21 0.859 0.333 0.285
Nd22 0.890 0.777 0.966
Nd23 0.927 0.034 0.257
Nd24 0.966 0.427 0.757
Te1 0.047 0.208 0.538
Te2 0.208 0.453 0.962
Te3 0.292 0.047 0.962
Te4 0.453 0.292 0.538
Te5 0.547 0.708 0.462
Te6 0.708 0.953 0.038
Te7 0.792 0.547 0.038
Te8 0.953 0.792 0.462

Computed properties:
SG: No. 86
calculated volume: 1031.40 Å³/cell
magnetization: 0.000 Bohr magnetons per cell
Fermi-level density of states: 1.18 states/eV/atom
formation energy without anion corrections: -0.704 eV per atom
final energy: -5.07 eV/atom
distance to the lowest polymorph of the same formula: 0.000 eV per atom

---

4.
Entry from the Alexandria database: Nd3Te after structural relaxation (GGA-PBE).

Lattice parameters (Å, degrees): 4.922 4.922 4.922 90.00 90.00 90.00
Fractional coordinates of all 4 atoms:
Nd1 0.000 0.000 0.500
Nd2 0.000 0.500 0.000
Nd3 0.500 0.000 0.000
Te1 0.500 0.500 0.500

Computed properties:
SG: No. 221
calculated volume: 119.28 Å³/cell
magnetization: 0.000 Bohr magnetons per cell
Fermi-level density of states: 1.10 states/eV/atom
formation energy without anion corrections: -0.538 eV per atom
final energy: -4.90 eV/atom
distance to the lowest polymorph of the same formula: 0.166 eV per atom

---

5.
Entry from the Alexandria database: Nd2Te3 after structural relaxation (GGA-PBE).

Lattice parameters (Å, degrees): 8.147 8.147 8.147 112.04 85.37 134.87
Fractional coordinates of all 10 atoms:
Nd1 0.117 0.225 0.342
Nd2 0.383 0.725 0.108
Nd3 0.617 0.275 0.892
Nd4 0.883 0.775 0.658
Te1 0.143 0.868 0.012
Te2 0.250 0.750 0.500
Te3 0.357 0.368 0.725
Te4 0.643 0.632 0.275
Te5 0.750 0.250 0.500
Te6 0.857 0.132 0.988

Computed properties:
SG: No. 72
calculated volume: 341.01 Å³/cell
magnetization: 0.000 Bohr magnetons per cell
Fermi-level density of states: 0.22 states/eV/atom
formation energy without anion corrections: -1.398 eV per atom
final energy: -5.19 eV/atom

---

6.
Entry from the Alexandria database: NdTe5 after structural relaxation (GGA-PBE).

Lattice parameters (Å, degrees): 9.688 9.688 4.726 90.00 90.00 154.54
Fractional coordinates of all 6 atoms:
Nd1 0.000 0.000 0.000
Te1 0.151 0.849 0.500
Te2 0.351 0.649 0.000
Te3 0.500 0.500 0.500
Te4 0.649 0.351 0.000
Te5 0.849 0.151 0.500

Computed properties:
SG: No. 65
calculated volume: 190.64 Å³/cell
magnetization: 0.000 Bohr magnetons per cell
Fermi-level density of states: 0.77 states/eV/atom
formation energy without anion corrections: -0.419 eV per atom
final energy: -3.83 eV/atom